No. 1
## Er2LuSc3Te2Os (GGA-PBE)

Data for crystalline Er2LuSc3Te2Os at its relaxed geometry.

a = 3.9916 Å, b = 7.9068 Å, c = 7.9068 Å
α = 120.33°, β = 90.00°, γ = 90.00°
Positions (direct):
Er1 0.0000 0.1932 0.8068
Er2 0.0000 0.8068 0.1932
Lu1 0.0000 0.5769 0.5769
Sc1 0.5000 0.1940 0.4269
Sc2 0.5000 0.4269 0.1940
Sc3 0.5000 0.9594 0.9594
Te1 0.5000 0.5263 0.8590
Te2 0.5000 0.8590 0.5263
Os1 0.0000 0.1963 0.1963

As for the total energy: -56.9 eV/cell. Its space group is Amm2 (38). As for the crystal system: orthorhombic.



No. 2
## ErLuSi2Os (GGA-PBE)

Data for crystalline ErLuSi2Os at its relaxed geometry.

a = 5.6354 Å, b = 5.6354 Å, c = 9.8560 Å
α = 116.21°, β = 116.21°, γ = 43.75°
Positions (direct):
Er1 0.1865 0.1865 0.1114
Er2 0.8135 0.8135 0.8886
Lu1 0.0058 0.0058 0.6767
Lu2 0.9942 0.9942 0.3233
Si1 0.3597 0.3597 0.4404
Si2 0.4942 0.4942 0.1246
Si3 0.5058 0.5058 0.8754
Si4 0.6403 0.6403 0.5596
Os1 0.2684 0.2684 0.6275
Os2 0.7316 0.7316 0.3725

As for the total energy: -70.5 eV/cell. Its space group is C2/m (12). As for the crystal system: monoclinic. Its polymorph energy (0 for the lowest one) is 0.0 meV/atom.